1.
An optimized crystal structure of LiLaBeAg2. Source: Alexandria, functional GGA-PBE.

Cell lengths 4.682, 4.682, 4.632 Å; angles 90.00, 90.00, 90.00 degrees
Space group P4/mmm (No. 123)
Symmetry-distinct sites (fractional):
Li  0.000  0.000  0.000 [1 per cell]
La  0.500  0.500  0.000 [1 per cell]
Be  0.000  0.000  0.500 [1 per cell]
Ag  0.000  0.500  0.500 [2 per cell]

Calculated values
* magnetic moment: 0.000 μB/atom
* E_form: 0.11 eV/f.u.
* crystal system: tetragonal

---

2.
An optimized crystal structure of MgAl3Cl. Source: Alexandria, functional GGA-PBE.

Cell lengths 5.036, 5.036, 5.036 Å; angles 90.00, 90.00, 90.00 degrees
Space group Pm-3m (No. 221)
Symmetry-distinct sites (fractional):
Mg  0.000  0.000  0.000 [1 per cell]
Al  0.000  0.500  0.500 [3 per cell]
Cl  0.500  0.500  0.500 [1 per cell]

Calculated values
* magnetic moment: 0.000 μB/atom
* crystal system: cubic
* formation energy without anion corrections: 0.558 eV per atom
* polymorph energy (0 for the lowest one): 0 meV per atom